No. 1
Material: Np2PaSn9
Method: DFT, PBE
State: relaxed

Cell lengths 4.6535, 4.6535, 13.8765 Å; angles 90.00, 90.00, 90.00 degrees
Last column: nearest neighbours and their distance in Å.
Space group P4/mmm (No. 123)
One atom of each set of equivalent atoms:
Np 0.0000 0.0000 0.1681 [2 per cell]  12 Sn 3.26-3.29
Pa 0.0000 0.0000 0.5000 [1 per cell]  12 Sn 3.28-3.29
Sn 0.0000 0.5000 0.0000 [2 per cell]  8 Sn 3.28-3.29, 4 Np 3.29
Sn 0.0000 0.5000 0.3330 [4 per cell]  2 Np 3.26, 8 Sn 3.28-3.29, 2 Pa 3.28
Sn 0.5000 0.5000 0.1665 [2 per cell]  8 Sn 3.28, 4 Np 3.29
Sn 0.5000 0.5000 0.5000 [1 per cell]  8 Sn 3.28, 4 Pa 3.29

Spin magnetization in μB/atom: 0.64
Final energy in eV per atom: -6.151
V in A^3/atom: 25.0
ΔH_f (0 K) in eV/f.u.: -2.4


No. 2
Material: NaB3Rh
Method: DFT, PBE
State: relaxed

Cell lengths 4.1039, 4.1039, 4.1039 Å; angles 90.00, 90.00, 90.00 degrees
Last column: nearest neighbours and their distance in Å.
Space group Pm-3m (No. 221)
One atom of each set of equivalent atoms:
Na 0.0000 0.0000 0.0000 [1 per cell]  12 B 2.90
B 0.0000 0.5000 0.5000 [3 per cell]  2 Rh 2.05
Rh 0.5000 0.5000 0.5000 [1 per cell]  6 B 2.05

Spin magnetization in μB/atom: 0.19
Final energy in eV per atom: -4.901
V in A^3/atom: 13.8
ΔH_f (0 K) in eV/f.u.: 4.2
Relative energy among the computed polymorphs in eV/atom: 0.000


No. 3
Material: Ba2NiAg
Method: DFT, PBE
State: relaxed

Cell lengths 8.5030, 8.5030, 7.9704 Å; angles 90.00, 90.00, 90.00 degrees
Last column: nearest neighbours and their distance in Å.
Space group I-42d (No. 122)
One atom of each set of equivalent atoms:
Ba 0.2127 0.2500 0.1250 [8 per cell]  2 Ni 2.96
Ni 0.0000 0.0000 0.0000 [4 per cell]  4 Ba 2.96
Ag 0.0000 0.0000 0.5000 [4 per cell]  4 Ba 3.39

Spin magnetization in μB/atom: 0.00
Final energy in eV per atom: -2.910
V in A^3/atom: 36.0
ΔH_f (0 K) in eV/f.u.: 0.8
Relative energy among the computed polymorphs in eV/atom: 0.260


No. 4
Material: HoZn6Pd2
Method: DFT, PBE
State: relaxed

Cell lengths 3.6325, 6.8297, 12.4363 Å; angles 90.00, 90.00, 90.00 degrees
Last column: nearest neighbours and their distance in Å.
Space group Immm (No. 71)
One atom of each set of equivalent atoms:
Ho 0.0000 0.0000 0.0000 [2 per cell]  12 Zn 2.87-3.21
Zn 0.0000 0.1744 0.5000 [4 per cell]  3 Zn 2.38-2.48
Zn 0.0000 0.3084 0.3151 [8 per cell]  4 Zn 2.48-2.62, 1 Pd 2.68
Pd 0.0000 0.5000 0.1273 [4 per cell]  10 Zn 2.68-2.87

Spin magnetization in μB/atom: 0.00
Final energy in eV per atom: -2.812
V in A^3/atom: 17.1
ΔH_f (0 K) in eV/f.u.: -2.7


No. 5
Material: Ac3N2Cl2
Method: DFT, PBE
State: relaxed

Cell lengths 17.7313, 4.1528, 11.9266 Å; angles 90.00, 117.88, 90.00 degrees
Last column: nearest neighbours and their distance in Å.
Space group C2/m (No. 12)
One atom of each set of equivalent atoms:
Ac 0.0897 0.0000 0.4531 [4 per cell]  4 N 2.51-2.58
Ac 0.1009 0.5000 0.7765 [4 per cell]  3 N 2.47-2.49
Ac 0.1199 0.5000 0.1801 [4 per cell]  1 N 2.28
N 0.0569 0.5000 0.3086 [4 per cell]  2 Ac 2.28-2.49
N 0.0701 0.0000 0.6510 [4 per cell]  4 Ac 2.47-2.54
Cl 0.1793 0.0000 0.0318 [4 per cell]  5 Ac 3.21-3.48, 1 Cl 3.56
Cl 0.2487 0.5000 0.6353 [4 per cell]  5 Ac 3.13-3.49

Spin magnetization in μB/atom: 0.04
Final energy in eV per atom: -6.283
V in A^3/atom: 27.7
ΔE_f (raw) in eV/atom: -1.616
Relative energy among the computed polymorphs in eV/atom: 0.000


No. 6
Material: TbMgScPa
Method: DFT, PBE
State: relaxed

Cell lengths 7.4767, 7.4767, 7.4767 Å; angles 90.00, 90.00, 90.00 degrees
Last column: nearest neighbours and their distance in Å.
Space group F-43m (No. 216)
One atom of each set of equivalent atoms:
Tb 0.0000 0.0000 0.0000 [4 per cell]  4 Mg 3.24, 4 Pa 3.24
Mg 0.2500 0.2500 0.2500 [4 per cell]  4 Sc 3.24, 4 Tb 3.24
Sc 0.0000 0.0000 0.5000 [4 per cell]  4 Pa 3.24, 4 Mg 3.24
Pa 0.2500 0.2500 0.7500 [4 per cell]  4 Tb 3.24, 4 Sc 3.24

Spin magnetization in μB/atom: 0.54
Final energy in eV per atom: -5.178
V in A^3/atom: 26.1
ΔH_f (0 K) in eV/f.u.: 1.3


No. 7
Material: MnBeIn2
Method: DFT, PBE
State: relaxed

Cell lengths 3.1288, 3.7977, 5.7359 Å; angles 90.00, 90.00, 90.00 degrees
Last column: nearest neighbours and their distance in Å.
Space group Pmmm (No. 47)
One atom of each set of equivalent atoms:
Mn 0.0000 0.0000 0.0000 [1 per cell]  8 In 2.86, 2 Be 2.87, 2 Mn 3.13
Be 0.0000 0.0000 0.5000 [1 per cell]  8 In 2.84, 2 Mn 2.87, 2 Be 3.13
In 0.5000 0.5000 0.2538 [2 per cell]  4 In 2.82-3.13, 4 Be 2.84, 4 Mn 2.86

Spin magnetization in μB/atom: 0.70
Final energy in eV per atom: -4.175
V in A^3/atom: 17.0
ΔH_f (0 K) in eV/f.u.: 1.7


No. 8
Material: Na5BeAs2
Method: DFT, PBE
State: relaxed

Cell lengths 5.1378, 5.1378, 17.1124 Å; angles 90.00, 90.00, 120.00 degrees
Last column: nearest neighbours and their distance in Å.
Space group P6_3/mmc (No. 194)
One atom of each set of equivalent atoms:
Na 0.0000 0.0000 0.1419 [4 per cell]  3 As 2.98
Na 0.3333 0.6667 0.0491 [4 per cell]  4 As 3.00-3.24
Na 0.3333 0.6667 0.2500 [2 per cell]  3 Be 2.97
Be 0.3333 0.6667 0.7500 [2 per cell]  2 As 2.12
As 0.3333 0.6667 0.6259 [4 per cell]  1 Be 2.12

Spin magnetization in μB/atom: 0.00
Final energy in eV per atom: -2.734
V in A^3/atom: 24.5
ΔH_f (0 K) in eV/f.u.: -2.3


No. 9
Material: ZnGaNO
Method: DFT, PBE
State: relaxed

Cell lengths 6.5287, 6.5288, 10.5653 Å; angles 89.98, 89.84, 60.17 degrees
Last column: nearest neighbours and their distance in Å.
Space group P1 (No. 1)
One atom of each set of equivalent atoms:
Zn 0.0000 0.0000 0.0000 [1 per cell]  1 N 2.01, 3 O 2.02-2.09
Zn 0.0103 0.9943 0.4876 [1 per cell]  2 N 1.95-1.97, 1 O 2.04
Zn 0.3283 0.3276 0.7330 [1 per cell]  1 N 1.94, 2 O 1.95-1.98
Zn 0.3394 0.8226 0.7350 [1 per cell]  3 O 1.94-1.98
Zn 0.4936 0.9950 0.4925 [1 per cell]  2 N 1.96-1.98, 2 O 2.05-2.14
Zn 0.5058 0.4857 0.4874 [1 per cell]  3 N 1.96-1.98
Zn 0.8331 0.8157 0.2524 [1 per cell]  2 O 2.02-2.12, 2 N 2.03-2.04
Zn 0.8440 0.8115 0.7359 [1 per cell]  1 N 1.94, 2 O 1.95-1.99
Ga 0.0093 0.4774 0.4950 [1 per cell]  3 N 1.92-1.97, 1 O 1.96
Ga 0.3353 0.3229 0.2531 [1 per cell]  4 N 1.91-2.03
Ga 0.3474 0.8194 0.2578 [1 per cell]  3 N 1.88-2.03, 1 O 2.03
Ga 0.5068 0.9850 0.0068 [1 per cell]  1 N 1.89, 3 O 1.96-2.02
Ga 0.5181 0.4842 0.0036 [1 per cell]  2 N 1.91-1.94, 2 O 1.98-2.02
Ga 0.8374 0.3313 0.2540 [1 per cell]  3 N 1.89-2.02, 1 O 2.02
Ga 0.8423 0.3293 0.7469 [1 per cell]  2 N 1.89-1.97, 2 O 1.91-1.92
Ga 0.9982 0.4838 0.0049 [1 per cell]  2 N 1.89-1.94, 2 O 1.99-2.04
N 0.9997 0.4836 0.6812 [1 per cell]  2 Ga 1.89-1.97, 2 Zn 1.94
N 0.0113 0.4804 0.1835 [1 per cell]  3 Ga 1.89-1.98, 1 Zn 2.03
N 0.3286 0.3277 0.4340 [1 per cell]  2 Ga 1.91-1.92, 2 Zn 1.98
N 0.3401 0.8184 0.4358 [1 per cell]  1 Ga 1.88, 3 Zn 1.95-1.96
N 0.4955 0.9949 0.1851 [1 per cell]  3 Ga 1.89-1.99, 1 Zn 2.04
N 0.5050 0.4886 0.1846 [1 per cell]  4 Ga 1.91-2.03
N 0.8345 0.3314 0.9330 [1 per cell]  3 Ga 1.94-1.97, 1 Zn 2.01
N 0.8403 0.3271 0.4328 [1 per cell]  2 Ga 1.89-1.92, 2 Zn 1.97-1.98
O 0.0116 0.9941 0.1907 [1 per cell]  2 Zn 2.02-2.12, 2 Ga 2.02-2.03
O 0.3409 0.3211 0.9445 [1 per cell]  3 Ga 2.02-2.04, 1 Zn 2.24
O 0.3522 0.8144 0.9418 [1 per cell]  2 Ga 1.96-1.98, 2 Zn 2.09-2.19
O 0.5078 0.9905 0.6952 [1 per cell]  4 Zn 1.94-2.14
O 0.5188 0.4806 0.6977 [1 per cell]  1 Ga 1.91, 2 Zn 1.98
O 0.8323 0.8158 0.9445 [1 per cell]  2 Ga 1.96-1.99, 1 Zn 2.07
O 0.8448 0.8093 0.4436 [1 per cell]  1 Ga 1.96, 3 Zn 2.02-2.05
O 0.9964 0.0037 0.6976 [1 per cell]  1 Ga 1.92, 2 Zn 1.98-1.99

Spin magnetization in μB/atom: 0.00
Final energy in eV per atom: -5.281
V in A^3/atom: 12.2
ΔE_f (raw) in eV/atom: -0.885
Relative energy among the computed polymorphs in eV/atom: 0.013


No. 10
Material: LiNiSn2
Method: DFT, PBE
State: relaxed

Cell lengths 4.3346, 4.3346, 17.6809 Å; angles 90.00, 90.00, 90.00 degrees
Last column: nearest neighbours and their distance in Å.
Space group I-42d (No. 122)
One atom of each set of equivalent atoms:
Li 0.0000 0.0000 0.0000 [4 per cell]  4 Sn 2.71
Ni 0.0000 0.0000 0.5000 [4 per cell]  4 Sn 2.67
Sn 0.2388 0.2500 0.6250 [8 per cell]  2 Ni 2.67, 2 Li 2.71

Spin magnetization in μB/atom: 0.00
Final energy in eV per atom: -3.868
V in A^3/atom: 20.8
ΔH_f (0 K) in eV/f.u.: 0.2


No. 11
Material: NaSn4Hg
Method: DFT, PBE
State: relaxed

Cell lengths 6.4399, 9.2194, 6.3551 Å; angles 90.00, 118.63, 90.00 degrees
Last column: nearest neighbours and their distance in Å.
Space group P2/c (No. 13)
One atom of each set of equivalent atoms:
Na 0.0000 0.2450 0.2500 [2 per cell]  2 Hg 3.22, 8 Sn 3.35-3.40
Sn 0.2591 0.4302 0.7705 [4 per cell]  2 Hg 3.13-3.34, 6 Sn 3.22-3.43, 2 Na 3.37-3.40
Sn 0.2674 0.0773 0.7822 [4 per cell]  1 Hg 3.07, 4 Sn 3.21-3.27, 2 Na 3.35-3.39
Hg 0.5000 0.2533 0.2500 [2 per cell]  6 Sn 3.07-3.34, 2 Na 3.22

Spin magnetization in μB/atom: 0.00
Final energy in eV per atom: -2.957
V in A^3/atom: 27.6
ΔH_f (0 K) in eV/f.u.: -0.1
Relative energy among the computed polymorphs in eV/atom: 0.051


No. 12
Material: La6NdY2
Method: DFT, PBE
State: relaxed

Cell lengths 6.5990, 6.5990, 9.4661 Å; angles 90.00, 90.00, 120.00 degrees
Last column: nearest neighbours and their distance in Å.
Space group P-31m (No. 162)
One atom of each set of equivalent atoms:
La 0.0000 0.3604 0.2033 [6 per cell]  1 Nd 3.06
Nd 0.0000 0.0000 0.0000 [1 per cell]  6 La 3.06
Y 0.3333 0.6667 0.5000 [2 per cell]  6 La 3.52, 3 Y 3.81

Spin magnetization in μB/atom: 0.00
Final energy in eV per atom: -4.856
V in A^3/atom: 39.7
ΔH_f (0 K) in eV/f.u.: 3.6
Relative energy among the computed polymorphs in eV/atom: 0.303


No. 13
Material: Mg2GeTe
Method: DFT, PBE
State: relaxed

Cell lengths 6.9605, 6.9605, 10.1266 Å; angles 90.00, 90.00, 90.00 degrees
Last column: nearest neighbours and their distance in Å.
Space group I-42d (No. 122)
One atom of each set of equivalent atoms:
Mg 0.2423 0.2500 0.1250 [8 per cell]  2 Ge 2.73, 2 Te 2.80
Ge 0.0000 0.0000 0.0000 [4 per cell]  4 Mg 2.73
Te 0.0000 0.0000 0.5000 [4 per cell]  4 Mg 2.80

Spin magnetization in μB/atom: 0.00
Final energy in eV per atom: -2.821
V in A^3/atom: 30.7
ΔE_f (raw) in eV/atom: -0.084
Relative energy among the computed polymorphs in eV/atom: 0.000


No. 14
Material: Y3Al3Pt
Method: DFT, PBE
State: relaxed

Cell lengths 10.8913, 4.3731, 14.4622 Å; angles 90.00, 109.53, 90.00 degrees
Last column: nearest neighbours and their distance in Å.
Space group C2/m (No. 12)
One atom of each set of equivalent atoms:
Y 0.0206 0.0000 0.3809 [4 per cell]  3 Pt 3.03-3.26, 7 Al 3.08-3.36
Y 0.1067 0.0000 0.9226 [4 per cell]  7 Al 3.12-3.19
Y 0.2394 0.0000 0.2348 [4 per cell]  2 Pt 3.10, 6 Al 3.13-3.20
Al 0.0332 0.5000 0.2346 [4 per cell]  1 Pt 2.61, 1 Al 2.66
Al 0.1062 0.5000 0.0765 [4 per cell]  2 Al 2.61-2.66
Al 0.1520 0.5000 0.5351 [4 per cell]  3 Pt 2.54-2.65
Pt 0.2453 0.5000 0.3880 [4 per cell]  4 Al 2.54-2.65

Spin magnetization in μB/atom: 0.00
Final energy in eV per atom: -5.954
V in A^3/atom: 23.2
ΔH_f (0 K) in eV/f.u.: -5.0


No. 15
Material: CrTe2OsN
Method: DFT, PBE
State: relaxed

Cell lengths 5.4739, 5.4739, 3.6595 Å; angles 90.00, 90.00, 90.00 degrees
Last column: nearest neighbours and their distance in Å.
Space group P4/mmm (No. 123)
One atom of each set of equivalent atoms:
Cr 0.0000 0.0000 0.0000 [1 per cell]  8 Te 3.29, 2 Cr 3.66
Te 0.0000 0.5000 0.5000 [2 per cell]  2 Os 2.74
Os 0.5000 0.5000 0.5000 [1 per cell]  2 N 1.83
N 0.5000 0.5000 0.0000 [1 per cell]  2 Os 1.83

Spin magnetization in μB/atom: 0.81
Final energy in eV per atom: -6.590
V in A^3/atom: 21.9
ΔE_f (raw) in eV/atom: 0.502
Relative energy among the computed polymorphs in eV/atom: 0.000


No. 16
Material: Ni3Rh3W
Method: DFT, PBE
State: relaxed

Cell lengths 10.6589, 10.6589, 2.6954 Å; angles 90.00, 90.00, 120.00 degrees
Last column: nearest neighbours and their distance in Å.
Space group P6_3/m (No. 176)
One atom of each set of equivalent atoms:
Ni 0.1470 0.4095 0.2500 [6 per cell]  1 W 2.45, 3 Rh 2.56-2.61, 2 Ni 2.70
Rh 0.1041 0.6147 0.7500 [6 per cell]  5 Ni 2.56-2.79, 2 W 2.60, 4 Rh 2.70
W 0.3333 0.6667 0.2500 [2 per cell]  3 Ni 2.45, 6 Rh 2.60, 2 W 2.70

Spin magnetization in μB/atom: 0.23
Final energy in eV per atom: -7.079
V in A^3/atom: 18.9
ΔH_f (0 K) in eV/f.u.: 2.8
Relative energy among the computed polymorphs in eV/atom: 0.244


No. 17
Material: Si2Te
Method: DFT, PBE
State: relaxed

Cell lengths 8.1460, 8.1460, 3.7181 Å; angles 90.00, 90.00, 120.00 degrees
Last column: nearest neighbours and their distance in Å.
Space group P-62m (No. 189)
One atom of each set of equivalent atoms:
Si 0.0000 0.2751 0.0000 [3 per cell]  2 Si 2.47
Si 0.0000 0.4751 0.5000 [3 per cell]  2 Si 2.47
Te 0.0000 0.0000 0.5000 [1 per cell]  6 Si 2.91
Te 0.3333 0.6667 0.0000 [2 per cell]  9 Si 2.98-3.00

Spin magnetization in μB/atom: 0.00
Final energy in eV per atom: -3.994
V in A^3/atom: 23.7
ΔE_f (raw) in eV/atom: 0.668
Relative energy among the computed polymorphs in eV/atom: 0.645


No. 18
Material: Hf2HIrPd
Method: DFT, PBE
State: relaxed

Cell lengths 4.4408, 4.4408, 3.7482 Å; angles 90.00, 90.00, 90.00 degrees
Last column: nearest neighbours and their distance in Å.
Space group P4/mmm (No. 123)
One atom of each set of equivalent atoms:
Hf 0.0000 0.5000 0.0000 [2 per cell]  2 H 2.22
H 0.0000 0.0000 0.0000 [1 per cell]  2 Ir 1.87
Ir 0.0000 0.0000 0.5000 [1 per cell]  2 H 1.87
Pd 0.5000 0.5000 0.5000 [1 per cell]  8 Hf 2.91, 4 Ir 3.14

Spin magnetization in μB/atom: 0.00
Final energy in eV per atom: -8.048
V in A^3/atom: 14.8
Relative energy among the computed polymorphs in eV/atom: 0.006


No. 19
Material: Zr5MoRh4
Method: DFT, PBE
State: relaxed

Cell lengths 3.3480, 3.3480, 16.1712 Å; angles 90.00, 90.00, 90.00 degrees
Last column: nearest neighbours and their distance in Å.
Space group P4/mmm (No. 123)
One atom of each set of equivalent atoms:
Zr 0.0000 0.0000 0.0000 [1 per cell]  8 Rh 2.86
Zr 0.0000 0.0000 0.1991 [2 per cell]  8 Rh 2.82-2.86
Zr 0.0000 0.0000 0.4004 [2 per cell]  4 Mo 2.86, 4 Rh 2.93
Mo 0.5000 0.5000 0.5000 [1 per cell]  8 Zr 2.86
Rh 0.5000 0.5000 0.0993 [2 per cell]  8 Zr 2.86, 1 Rh 3.14
Rh 0.5000 0.5000 0.2934 [2 per cell]  8 Zr 2.82-2.93, 1 Rh 3.14

Spin magnetization in μB/atom: 0.00
Final energy in eV per atom: -8.943
V in A^3/atom: 18.1
ΔH_f (0 K) in eV/f.u.: -6.5


No. 20
Material: ThAs2Au
Method: DFT, PBE
State: relaxed

Cell lengths 4.6588, 4.6588, 3.9757 Å; angles 90.00, 90.00, 90.00 degrees
Last column: nearest neighbours and their distance in Å.
Space group P4/mmm (No. 123)
One atom of each set of equivalent atoms:
Th 0.0000 0.0000 0.0000 [1 per cell]  8 As 3.06, 4 Au 3.29
As 0.0000 0.5000 0.5000 [2 per cell]  4 Th 3.06, 4 Au 3.06, 4 As 3.29
Au 0.5000 0.5000 0.0000 [1 per cell]  8 As 3.06, 4 Th 3.29

Spin magnetization in μB/atom: 0.00
Final energy in eV per atom: -5.723
V in A^3/atom: 21.6
ΔH_f (0 K) in eV/f.u.: -2.9


No. 21
Material: Ce2Zn2GePd5
Method: DFT, PBE
State: relaxed

Cell lengths 10.2361, 10.2361, 3.4701 Å; angles 90.00, 90.00, 90.00 degrees
Last column: nearest neighbours and their distance in Å.
Space group P4/mbm (No. 127)
One atom of each set of equivalent atoms:
Ce 0.1760 0.3240 0.0000 [4 per cell]  3 Zn 2.87-3.13, 6 Pd 3.08-3.20
Zn 0.1255 0.6255 0.0000 [4 per cell]  6 Pd 2.51-2.62
Ge 0.0000 0.0000 0.0000 [2 per cell]  8 Pd 2.71
Pd 0.0000 0.5000 0.5000 [2 per cell]  4 Zn 2.51
Pd 0.0534 0.8032 0.5000 [8 per cell]  2 Zn 2.62, 2 Ge 2.71

Spin magnetization in μB/atom: 0.23
Final energy in eV per atom: -5.037
V in A^3/atom: 18.2
ΔH_f (0 K) in eV/f.u.: -5.4